MnAl2ClF after structural relaxation. Source: Alexandria, functional GGA+U.

Values from the calculation:
N(E_F) in states/eV/cell: 1.724
Crystal system: tetragonal
Total DFT energy (no corrections) in eV/atom: -3.752
Size of the total moment in μB/atom: 0.663

Structure (CIF):
```
data_MnAl2ClF
_chemical_formula_sum 'Mn1 Al2 Cl1 F1'
_symmetry_space_group_name_H-M 'P 4/m m m'
_symmetry_Int_Tables_number 123
_symmetry_space_group_name_Hall '-P 4 2'
_cell_length_a 5.041
_cell_length_b 5.041
_cell_length_c 4.640
_cell_angle_alpha 90.00
_cell_angle_beta 90.00
_cell_angle_gamma 90.00
loop_
_atom_site_label
_atom_site_type_symbol
_atom_site_fract_x
_atom_site_fract_y
_atom_site_fract_z
_atom_site_occupancy
Mn1 Mn 0.000 0.000 0.000 1
Al1 Al 0.000 0.500 0.000 1
Cl1 Cl 0.000 0.000 0.500 1
F1 F 0.500 0.500 0.500 1
```